A relaxed structure of PmRh4Pb. Source: the Alexandria database, functional PBE-GGA.

It has space group F-43m (No. 216), with a = 7.589 Å, b = 7.589 Å, c = 7.589 Å, α = 90.00°, β = 90.00° and γ = 90.00°. Symmetry generates all atoms from Pm at (0.000, 0.000, 0.000), Rh at (0.124, 0.124, 0.376) and Pb at (0.250, 0.250, 0.750).

The value obtained for the density of states at the Fermi level is 0.957 states/eV/atom. The value obtained for the formation energy is -0.377 eV/atom.